Density functional theory data (PBE) for BeCr2As after structural relaxation.

## Properties
- total energy (eV/cell) = -26.9
- space group = C2/m
- ΔH_f (0 K) (eV per atom) = 0.1836

Structure (POSCAR):
```
BeCr2As
1.0
4.027 -1.465 0.000
4.027 1.465 0.000
-0.783 0.000 4.051
Be Cr As
1 2 1
Cartesian
0.000 0.000 0.000
1.433 0.000 3.175
5.838 0.000 0.876
3.636 0.000 2.025
```

=====

Density functional theory data (PBE) for CeThNp after structural relaxation.

## Properties
- total energy (eV/cell) = -25.4
- space group = I4mm
- ΔH_f (0 K) (eV per atom) = 0.2920

Structure (POSCAR):
```
CeThNp
1.0
-1.685 1.685 7.050
1.685 -1.685 7.050
1.685 1.685 -7.050
Ce Th Np
1 1 1
Cartesian
0.000 0.000 0.000
0.000 0.000 9.583
0.000 0.000 4.913
```

=====

Density functional theory data (PBE) for SbP2Cl after structural relaxation.

## Properties
- formation energy (no corrections) (eV/atom) = 0.54
- total energy (eV/cell) = -14.6
- space group = F-43m

Structure (POSCAR):
```
SbP2Cl
1.0
0.000 3.369 3.369
3.369 0.000 3.369
3.369 3.369 0.000
Sb P Cl
1 2 1
Cartesian
0.000 0.000 0.000
3.369 3.369 3.369
5.054 5.054 5.054
1.685 1.685 1.685
```